! NbReBi PBE relaxed; values from VASP
! spin magnetization = 0.006 μB/atom
! symmetry = F-43m (216)
! distance to the lowest polymorph of the same formula = 0.0 meV/atom
&SYSTEM
  ibrav = 0, nat = 3, ntyp = 3
/
ATOMIC_SPECIES
Bi 208.98 Bi.upf
Nb 92.91 Nb.upf
Re 186.21 Re.upf
ATOMIC_POSITIONS crystal
Bi 0.250 0.250 0.250
Nb 0.750 0.750 0.750
Re 0.000 0.000 0.000
CELL_PARAMETERS angstrom
-3.064 -2.252 2.452
-0.244 0.654 4.471
-3.535 2.197 1.775